# 1
Here is a relaxed Pr2MgP3Ir4 crystal from Alexandria. Energies are from GGA-PBE.

```
data_Pr2MgP3Ir4
_chemical_formula_sum 'Pr2 Mg1 P3 Ir4'
_cell_length_a 4.072
_cell_length_b 4.072
_cell_length_c 10.578
_cell_angle_alpha 90.00
_cell_angle_beta 90.00
_cell_angle_gamma 90.00
_space_group_name_H-M_alt 'P -4 m 2'
_space_group_IT_number 115
_space_group_name_Hall 'P -4 -2'
loop_
_atom_site_label
_atom_site_type_symbol
_atom_site_fract_x
_atom_site_fract_y
_atom_site_fract_z
Pr1 Pr 0.000 0.500 0.243
Mg1 Mg 0.000 0.000 0.500
P1 P 0.000 0.500 0.870
P2 P 0.500 0.500 0.500
Ir1 Ir 0.000 0.000 0.000
Ir2 Ir 0.000 0.500 0.651
Ir3 Ir 0.500 0.500 0.000
```

**DFT formation energy**: -862 meV per atom
**Theoretical density**: 11.1 g/cm³
**Electronic total energy**: -0.263 hartree per atom


# 2
Here is a relaxed RbPa2Cd2O7 crystal from Alexandria. Energies are from GGA-PBE.

```
data_RbPa2Cd2O7
_chemical_formula_sum 'Rb2 Pa4 Cd4 O14'
_cell_length_a 4.368
_cell_length_b 4.368
_cell_length_c 21.806
_cell_angle_alpha 90.00
_cell_angle_beta 90.00
_cell_angle_gamma 90.00
_space_group_name_H-M_alt 'I 4/m m m'
_space_group_IT_number 139
_space_group_name_Hall '-I 4 2'
loop_
_atom_site_label
_atom_site_type_symbol
_atom_site_fract_x
_atom_site_fract_y
_atom_site_fract_z
Rb1 Rb 0.000 0.000 0.000
Pa1 Pa 0.000 0.000 0.399
Cd1 Cd 0.000 0.500 0.250
O1 O 0.000 0.000 0.292
O2 O 0.000 0.000 0.500
O3 O 0.000 0.500 0.101
```

**Theoretical density**: 7.1 g/cm³
**Formation energy without anion corrections**: -2.53 eV per atom
**Electronic total energy**: -0.266 hartree per atom


# 3
Here is a relaxed LiRePb2 crystal from Alexandria. Energies are from GGA-PBE.

```
data_LiRePb2
_chemical_formula_sum 'Li2 Re2 Pb4'
_cell_length_a 9.037
_cell_length_b 3.159
_cell_length_c 6.064
_cell_angle_alpha 90.00
_cell_angle_beta 99.69
_cell_angle_gamma 90.00
_space_group_name_H-M_alt 'C 1 2/m 1'
_space_group_IT_number 12
_space_group_name_Hall '-C 2y'
loop_
_atom_site_label
_atom_site_type_symbol
_atom_site_fract_x
_atom_site_fract_y
_atom_site_fract_z
Li1 Li 0.000 0.000 0.000
Re1 Re 0.000 0.500 0.500
Pb1 Pb 0.244 0.000 0.739
```

**DFT formation energy**: 595 meV per atom
**Theoretical density**: 11.8 g/cm³
**Electronic total energy**: -0.178 hartree per atom
**Energy above the most stable polymorph in this dataset**: 0.52 eV/f.u.


What did the first record say?
Here is a relaxed Pr2MgP3Ir4 crystal from Alexandria. Energies are from GGA-PBE.

```
data_Pr2MgP3Ir4
_chemical_formula_sum 'Pr2 Mg1 P3 Ir4'
_cell_length_a 4.072
_cell_length_b 4.072
_cell_length_c 10.578
_cell_angle_alpha 90.00
_cell_angle_beta 90.00
_cell_angle_gamma 90.00
_space_group_name_H-M_alt 'P -4 m 2'
_space_group_IT_number 115
_space_group_name_Hall 'P -4 -2'
loop_
_atom_site_label
_atom_site_type_symbol
_atom_site_fract_x
_atom_site_fract_y
_atom_site_fract_z
Pr1 Pr 0.000 0.500 0.243
Mg1 Mg 0.000 0.000 0.500
P1 P 0.000 0.500 0.870
P2 P 0.500 0.500 0.500
Ir1 Ir 0.000 0.000 0.000
Ir2 Ir 0.000 0.500 0.651
Ir3 Ir 0.500 0.500 0.000
```

**DFT formation energy**: -862 meV per atom
**Theoretical density**: 11.1 g/cm³
**Electronic total energy**: -0.263 hartree per atom